(1)
Below is a geometry-optimized PrLuGa structure, with properties calculated at the GGA-PBE level.

Summary:
For the energy relative to the lowest polymorph listed for this composition, the calculation gives 0.000 eV/atom. The value obtained for the formation energy is -1.030 eV per formula unit. The value obtained for the total energy is -13.357 eV/cell.

Cell lengths 3.5266, 3.5266, 7.0036 Å; angles 104.58, 104.58, 90.00 degrees
Element x y z (fractional)
Pr (0.0177, 0.0177, 0.0354)
Lu (0.3071, 0.3071, 0.6141)
Ga (0.6752, 0.6752, 0.3505)

***

(2)
Below is a geometry-optimized HoThGaOs structure, with properties calculated at the GGA-PBE level.

Summary:
For the energy relative to the lowest polymorph listed for this composition, the calculation gives 0.000 eV/atom. The value obtained for the formation energy is -1.982 eV per formula unit. The value obtained for the total energy is -28.237 eV/cell.

Cell lengths 4.1677, 3.9627, 6.0291 Å; angles 90.00, 110.22, 90.00 degrees
Element x y z (fractional)
Ho (0.0371, 0.0000, 0.0742)
Th (0.7600, 0.5000, 0.5201)
Ga (0.4660, 0.5000, 0.9319)
Os (0.3065, 0.0000, 0.6131)